Material: TbTm2Sc3Te6
Method: DFT, PBE
State: optimized geometry

Unit cell a=9.500 b=9.500 c=8.517 alpha=102.91 beta=102.91 gamma=25.78
Fractional positions:
Tb  0.000  0.000  0.000
Tm  0.336  0.336  0.670
Tm  0.664  0.664  0.330
Sc  0.000  0.000  0.500
Sc  0.337  0.337  0.166
Sc  0.663  0.663  0.834
Te  0.166  0.166  0.589
Te  0.172  0.172  0.080
Te  0.498  0.498  0.260
Te  0.502  0.502  0.740
Te  0.828  0.828  0.920
Te  0.834  0.834  0.411

Summary:
D(E_F)   0.645 states/eV/atom
ρ   7.130 Mg/m³
Energy relative to the elements, uncorrected   -1.159 eV per atom